AcPuIn2Se4 | PBE-GGA | relaxed

```
data_AcPuIn2Se4
_chemical_formula_sum 'Ac1 Pu1 In2 Se4'
_cell_length_a 4.3860
_cell_length_b 8.0666
_cell_length_c 7.6089
_cell_angle_alpha 71.76
_cell_angle_beta 90.00
_cell_angle_gamma 90.00
_space_group_name_H-M_alt 'P 1'
_space_group_IT_number 1
_space_group_name_Hall 'P 1'
loop_
_atom_site_label
_atom_site_type_symbol
_atom_site_fract_x
_atom_site_fract_y
_atom_site_fract_z
_atom_site_occupancy
Se1 Se 0.0000 0.7104 0.7799 1
Se2 Se 0.5000 0.7205 0.2453 1
In1 In 0.5000 0.0000 0.5000 1
Se3 Se 0.0000 0.2897 0.2201 1
Pu1 Pu 0.5000 0.5000 0.0000 1
In2 In 0.0000 0.0000 0.0000 1
Ac1 Ac 0.0000 0.5000 0.5000 1
Se4 Se 0.5000 0.2795 0.7547 1
```

size of the total moment: 5.00 μB/cell
space group: P2/m (10)
DFT total energy: -47.1 eV/cell
uncorrected formation energy: -1.155 eV/atom

NaCe2Te4 | PBE-GGA | relaxed

```
data_NaCe2Te4
_chemical_formula_sum 'Na2 Ce4 Te8'
_cell_length_a 9.2869
_cell_length_b 9.2869
_cell_length_c 9.2869
_cell_angle_alpha 120.04
_cell_angle_beta 89.92
_cell_angle_gamma 120.04
_space_group_name_H-M_alt 'P 1'
_space_group_IT_number 1
_space_group_name_Hall 'P 1'
loop_
_atom_site_label
_atom_site_type_symbol
_atom_site_fract_x
_atom_site_fract_y
_atom_site_fract_z
_atom_site_occupancy
Na1 Na 0.7500 0.5000 0.2500 1
Te1 Te 0.1362 0.2718 0.4080 1
Te2 Te 0.5920 0.7282 0.8638 1
Te3 Te 0.6138 0.7718 0.3856 1
Na2 Na 0.0000 0.0000 0.0000 1
Te4 Te 0.1356 0.2718 0.8638 1
Te5 Te 0.1580 0.7718 0.3862 1
Te6 Te 0.6144 0.2282 0.3862 1
Ce1 Ce 0.3750 0.7501 0.6251 1
Ce2 Ce 0.3749 0.7499 0.1250 1
Te7 Te 0.1362 0.7282 0.8644 1
Te8 Te 0.6138 0.2282 0.8420 1
Ce3 Ce 0.8750 0.2499 0.6249 1
Ce4 Ce 0.3751 0.2501 0.6250 1
```

size of the total moment: 2.04 μB/cell
space group: I4_1/amd (141)
DFT total energy: -68.3 eV/cell
uncorrected formation energy: -1.201 eV/atom

Tb3SmTh2P6 | PBE-GGA | relaxed

```
data_Tb3SmTh2P6
_chemical_formula_sum 'Tb3 Sm1 Th2 P6'
_cell_length_a 4.0901
_cell_length_b 8.1472
_cell_length_c 9.1203
_cell_angle_alpha 102.75
_cell_angle_beta 102.96
_cell_angle_gamma 90.00
_space_group_name_H-M_alt 'P 1'
_space_group_IT_number 1
_space_group_name_Hall 'P 1'
loop_
_atom_site_label
_atom_site_type_symbol
_atom_site_fract_x
_atom_site_fract_y
_atom_site_fract_z
_atom_site_occupancy
P1 P 0.0010 0.7469 0.0020 1
P2 P 0.6679 0.0805 0.3357 1
P3 P 0.3321 0.9195 0.6643 1
P4 P 0.6658 0.5860 0.3316 1
Sm1 Sm 0.5000 0.0000 0.0000 1
Tb1 Tb 0.5000 0.5000 0.0000 1
Th1 Th 0.1652 0.3307 0.3305 1
P5 P 0.3342 0.4140 0.6684 1
Tb2 Tb 0.8343 0.1659 0.6686 1
Th2 Th 0.8348 0.6693 0.6695 1
Tb3 Tb 0.1657 0.8341 0.3314 1
P6 P 0.9990 0.2531 0.9980 1
```

size of the total moment: 0.00 μB/cell
space group: C2/m (12)
DFT total energy: -85.1 eV/cell
DFT formation energy: -19.20 eV per formula unit

Al3NiI | PBE-GGA | relaxed

```
data_Al3NiI
_chemical_formula_sum 'Al3 Ni1 I1'
_cell_length_a 5.4921
_cell_length_b 5.4921
_cell_length_c 5.4921
_cell_angle_alpha 90.00
_cell_angle_beta 90.00
_cell_angle_gamma 90.00
_space_group_name_H-M_alt 'P 1'
_space_group_IT_number 1
_space_group_name_Hall 'P 1'
loop_
_atom_site_label
_atom_site_type_symbol
_atom_site_fract_x
_atom_site_fract_y
_atom_site_fract_z
_atom_site_occupancy
Al1 Al 0.5000 0.0000 0.0000 1
Ni1 Ni 0.5000 0.5000 0.5000 1
Al2 Al 0.0000 0.5000 0.0000 1
Al3 Al 0.0000 0.0000 0.5000 1
I1 I 0.0000 0.0000 0.0000 1
```

size of the total moment: 0.00 μB/cell
space group: Pm-3m (221)
DFT total energy: -10.4 eV/cell
uncorrected formation energy: 1.625 eV/atom

YHgN2F | PBE-GGA | relaxed

```
data_YHgN2F
_chemical_formula_sum 'Y1 Hg1 N2 F1'
_cell_length_a 4.7749
_cell_length_b 4.7749
_cell_length_c 4.3733
_cell_angle_alpha 90.00
_cell_angle_beta 90.00
_cell_angle_gamma 90.00
_space_group_name_H-M_alt 'P 1'
_space_group_IT_number 1
_space_group_name_Hall 'P 1'
loop_
_atom_site_label
_atom_site_type_symbol
_atom_site_fract_x
_atom_site_fract_y
_atom_site_fract_z
_atom_site_occupancy
N1 N 0.5000 0.0000 0.0000 1
Y1 Y 0.0000 0.0000 0.0000 1
Hg1 Hg 0.5000 0.5000 0.5000 1
N2 N 0.0000 0.5000 0.0000 1
F1 F 0.0000 0.0000 0.5000 1
```

size of the total moment: 3.52 μB/cell
space group: P4/mmm (123)
DFT total energy: -25.9 eV/cell
uncorrected formation energy: -0.122 eV/atom

Ge2Pt3Pb2 | PBE-GGA | relaxed

```
data_Ge2Pt3Pb2
_chemical_formula_sum 'Ge2 Pt3 Pb2'
_cell_length_a 4.1183
_cell_length_b 6.6196
_cell_length_c 6.2364
_cell_angle_alpha 87.60
_cell_angle_beta 89.90
_cell_angle_gamma 108.05
_space_group_name_H-M_alt 'P 1'
_space_group_IT_number 1
_space_group_name_Hall 'P 1'
loop_
_atom_site_label
_atom_site_type_symbol
_atom_site_fract_x
_atom_site_fract_y
_atom_site_fract_z
_atom_site_occupancy
Pt1 Pt 0.2226 0.4430 0.8290 1
Pb1 Pb 0.1427 0.2876 0.3921 1
Ge1 Ge 0.6178 0.2345 0.9441 1
Pt2 Pt 0.0000 0.0000 0.0000 1
Ge2 Ge 0.3822 0.7655 0.0559 1
Pt3 Pt 0.7774 0.5570 0.1710 1
Pb2 Pb 0.8573 0.7124 0.6079 1
```

size of the total moment: 0.00 μB/cell
space group: P-1 (2)
DFT total energy: -36.7 eV/cell
DFT formation energy: -1.94 eV per formula unit

LiTbPuIr | PBE-GGA | relaxed

```
data_LiTbPuIr
_chemical_formula_sum 'Li1 Tb1 Pu1 Ir1'
_cell_length_a 4.9233
_cell_length_b 4.9233
_cell_length_c 4.9233
_cell_angle_alpha 60.00
_cell_angle_beta 60.00
_cell_angle_gamma 60.00
_space_group_name_H-M_alt 'P 1'
_space_group_IT_number 1
_space_group_name_Hall 'P 1'
loop_
_atom_site_label
_atom_site_type_symbol
_atom_site_fract_x
_atom_site_fract_y
_atom_site_fract_z
_atom_site_occupancy
Pu1 Pu 0.7500 0.7500 0.7500 1
Tb1 Tb 0.2500 0.2500 0.2500 1
Ir1 Ir 0.5000 0.5000 0.5000 1
Li1 Li 0.0000 0.0000 0.0000 1
```

size of the total moment: 5.80 μB/cell
space group: F-43m (216)
DFT total energy: -31.1 eV/cell
DFT formation energy: -1.40 eV per formula unit

RbPu2Cl6 | PBE-GGA | relaxed

```
data_RbPu2Cl6
_chemical_formula_sum 'Rb2 Pu4 Cl12'
_cell_length_a 6.9034
_cell_length_b 6.9034
_cell_length_c 13.2879
_cell_angle_alpha 90.00
_cell_angle_beta 90.00
_cell_angle_gamma 90.00
_space_group_name_H-M_alt 'P 1'
_space_group_IT_number 1
_space_group_name_Hall 'P 1'
loop_
_atom_site_label
_atom_site_type_symbol
_atom_site_fract_x
_atom_site_fract_y
_atom_site_fract_z
_atom_site_occupancy
Pu1 Pu 0.0000 0.0000 0.1670 1
Cl1 Cl 0.1744 0.8256 0.0000 1
Cl2 Cl 0.6744 0.6744 0.5000 1
Pu2 Pu 0.5000 0.5000 0.6670 1
Cl3 Cl 0.8256 0.1744 0.0000 1
Pu3 Pu 0.0000 0.0000 0.8330 1
Cl4 Cl 0.2144 0.7856 0.3082 1
Cl5 Cl 0.2856 0.2856 0.1918 1
Cl6 Cl 0.7856 0.2144 0.3082 1
Cl7 Cl 0.7144 0.7144 0.1918 1
Pu4 Pu 0.5000 0.5000 0.3330 1
Cl8 Cl 0.3256 0.3256 0.5000 1
Cl9 Cl 0.7856 0.2144 0.6918 1
Cl10 Cl 0.2144 0.7856 0.6918 1
Rb1 Rb 0.5000 0.5000 0.0000 1
Cl11 Cl 0.2856 0.2856 0.8082 1
Cl12 Cl 0.7144 0.7144 0.8082 1
Rb2 Rb 0.0000 0.0000 0.5000 1
```

size of the total moment: 22.00 μB/cell
space group: P4_2/mnm (136)
DFT total energy: -116.0 eV/cell
uncorrected formation energy: -1.922 eV/atom

MgTlP2 | PBE-GGA | relaxed

```
data_MgTlP2
_chemical_formula_sum 'Mg2 Tl2 P4'
_cell_length_a 6.0589
_cell_length_b 6.0589
_cell_length_c 7.2055
_cell_angle_alpha 65.14
_cell_angle_beta 65.14
_cell_angle_gamma 90.00
_space_group_name_H-M_alt 'P 1'
_space_group_IT_number 1
_space_group_name_Hall 'P 1'
loop_
_atom_site_label
_atom_site_type_symbol
_atom_site_fract_x
_atom_site_fract_y
_atom_site_fract_z
_atom_site_occupancy
Tl1 Tl 0.0000 0.0000 0.0000 1
P1 P 0.6165 0.1250 0.2500 1
Tl2 Tl 0.7500 0.2500 0.5000 1
P2 P 0.8750 0.8665 0.7500 1
P3 P 0.3750 0.3835 0.7500 1
P4 P 0.1335 0.6250 0.2500 1
Mg1 Mg 0.5000 0.5000 0.0000 1
Mg2 Mg 0.2500 0.7500 0.5000 1
```

size of the total moment: 0.00 μB/cell
space group: I-42d (122)
DFT total energy: -28.8 eV/cell
DFT formation energy: 0.37 eV per formula unit

Sr8BiN2 | PBE-GGA | relaxed

```
data_Sr8BiN2
_chemical_formula_sum 'Sr8 Bi1 N2'
_cell_length_a 7.0122
_cell_length_b 7.0122
_cell_length_c 7.4269
_cell_angle_alpha 90.00
_cell_angle_beta 90.00
_cell_angle_gamma 90.00
_space_group_name_H-M_alt 'P 1'
_space_group_IT_number 1
_space_group_name_Hall 'P 1'
loop_
_atom_site_label
_atom_site_type_symbol
_atom_site_fract_x
_atom_site_fract_y
_atom_site_fract_z
_atom_site_occupancy
Sr1 Sr 0.2465 0.2465 0.2109 1
Sr2 Sr 0.2465 0.7535 0.7891 1
Sr3 Sr 0.7535 0.7535 0.7891 1
Sr4 Sr 0.2465 0.2465 0.7891 1
N1 N 0.0000 0.5000 0.0000 1
Sr5 Sr 0.7535 0.2465 0.2109 1
Sr6 Sr 0.2465 0.7535 0.2109 1
Bi1 Bi 0.5000 0.5000 0.5000 1
N2 N 0.5000 0.0000 0.0000 1
Sr7 Sr 0.7535 0.7535 0.2109 1
Sr8 Sr 0.7535 0.2465 0.7891 1
```

size of the total moment: 0.00 μB/cell
space group: P4/mmm (123)
DFT total energy: -34.5 eV/cell
uncorrected formation energy: -0.047 eV/atom